Entry 1:
CeErHf2: optimized geometry, GGA-PBE.

Properties
formation enthalpy at 0 K: 0.1742 eV per atom
polymorph energy (0 for the lowest one): 2 meV/atom
uncorrected energy: -0.546 Ry per atom

Cell lengths 3.287, 3.287, 32.478 Å; angles 90.00, 90.00, 120.00 degrees
Fractional positions:
Ce  0.000  0.000  0.000
Ce  0.333  0.667  0.667
Ce  0.667  0.333  0.333
Er  0.000  0.000  0.500
Er  0.333  0.667  0.167
Er  0.667  0.333  0.833
Hf  0.000  0.000  0.251
Hf  0.000  0.000  0.749
Hf  0.333  0.667  0.416
Hf  0.333  0.667  0.917
Hf  0.667  0.333  0.083
Hf  0.667  0.333  0.584


Entry 2:
Ca2Be2Ir: optimized geometry, GGA-PBE.

Properties
formation enthalpy at 0 K: 0.0751 eV per atom
polymorph energy (0 for the lowest one): 0 meV/atom
uncorrected energy: -0.293 Ry per atom

Cell lengths 6.279, 6.279, 4.639 Å; angles 90.00, 90.00, 90.00 degrees
Fractional positions:
Ca  0.186  0.314  0.000
Ca  0.314  0.814  0.000
Ca  0.686  0.186  0.000
Ca  0.814  0.686  0.000
Be  0.138  0.638  0.500
Be  0.362  0.138  0.500
Be  0.638  0.862  0.500
Be  0.862  0.362  0.500
Ir  0.000  0.000  0.500
Ir  0.500  0.500  0.500


Entry 3:
Fe2Cu5Ni12: optimized geometry, GGA-PBE.

Properties
formation enthalpy at 0 K: 0.1349 eV per atom
uncorrected energy: -0.403 Ry per atom

Cell lengths 6.510, 6.510, 5.913 Å; angles 91.14, 91.14, 62.05 degrees
Fractional positions:
Fe  0.190  0.810  0.000
Fe  0.810  0.190  0.000
Cu  0.200  0.200  0.003
Cu  0.265  0.265  0.415
Cu  0.500  0.500  0.500
Cu  0.735  0.735  0.585
Cu  0.800  0.800  0.997
Ni  0.055  0.055  0.330
Ni  0.069  0.679  0.337
Ni  0.166  0.530  0.750
Ni  0.321  0.931  0.663
Ni  0.412  0.412  0.109
Ni  0.470  0.834  0.250
Ni  0.530  0.166  0.750
Ni  0.588  0.588  0.891
Ni  0.679  0.069  0.337
Ni  0.834  0.470  0.250
Ni  0.931  0.321  0.663
Ni  0.945  0.945  0.670


Entry 4:
HfV2Rh5: optimized geometry, GGA-PBE.

Properties
formation enthalpy at 0 K: -0.4584 eV per atom
uncorrected energy: -0.630 Ry per atom

Cell lengths 5.511, 10.945, 3.943 Å; angles 90.00, 90.00, 90.00 degrees
Fractional positions:
Hf  0.000  0.000  0.000
Hf  0.500  0.500  0.000
V  0.191  0.356  0.500
V  0.309  0.856  0.500
V  0.691  0.144  0.500
V  0.809  0.644  0.500
Rh  0.000  0.500  0.000
Rh  0.034  0.751  0.000
Rh  0.233  0.123  0.500
Rh  0.267  0.623  0.500
Rh  0.466  0.251  0.000
Rh  0.500  0.000  0.000
Rh  0.534  0.749  0.000
Rh  0.733  0.377  0.500
Rh  0.767  0.877  0.500
Rh  0.966  0.249  0.000


Entry 5:
Pm8Zn2Ru: optimized geometry, GGA-PBE.

Properties
formation enthalpy at 0 K: -0.1446 eV per atom
polymorph energy (0 for the lowest one): 0 meV/atom
uncorrected energy: -0.344 Ry per atom

Cell lengths 9.310, 9.310, 6.891 Å; angles 102.36, 102.36, 32.51 degrees
Fractional positions:
Pm  0.028  0.028  0.286
Pm  0.200  0.200  0.812
Pm  0.343  0.343  0.541
Pm  0.411  0.411  0.065
Pm  0.589  0.589  0.935
Pm  0.657  0.657  0.459
Pm  0.800  0.800  0.188
Pm  0.972  0.972  0.714
Zn  0.192  0.192  0.233
Zn  0.808  0.808  0.767
Ru  0.500  0.500  0.500


Entry 6:
Zr3FeCl: optimized geometry, GGA-PBE.

Properties
formation energy from raw total energies: 0.27 eV/atom
polymorph energy (0 for the lowest one): 0 meV/atom
uncorrected energy: -0.509 Ry per atom

Cell lengths 4.888, 4.888, 4.888 Å; angles 90.00, 90.00, 90.00 degrees
Fractional positions:
Zr  0.000  0.000  0.500
Zr  0.000  0.500  0.000
Zr  0.500  0.000  0.000
Fe  0.000  0.000  0.000
Cl  0.500  0.500  0.500


Q: What is the uncorrected energy in the fourth record?
A: -0.630 Ry per atom